First-principles (PBE with a Hubbard U) data for Cs3CoAg3F8 after structural relaxation, as listed in the Alexandria database.

Cell and atoms, written as CIF:
```
data_Cs3CoAg3F8
_chemical_formula_sum 'Cs3 Co1 Ag3 F8'
_cell_length_a 7.392
_cell_length_b 7.489
_cell_length_c 7.836
_cell_angle_alpha 118.42
_cell_angle_beta 90.00
_cell_angle_gamma 119.57
_symmetry_space_group_name_H-M 'P 1'
_symmetry_Int_Tables_number 1
loop_
_symmetry_equiv_pos_as_xyz
'x,y,z'
loop_
_atom_site_label
_atom_site_fract_x
_atom_site_fract_y
_atom_site_fract_z
Cs1 0.000 0.000 0.000
Cs2 0.000 0.500 0.000
Cs3 0.500 0.500 0.000
Co1 0.000 0.000 0.500
Ag1 0.500 0.000 0.500
Ag2 0.500 0.500 0.500
Ag3 0.000 0.500 0.500
F1 0.268 0.535 0.310
F2 0.732 0.465 0.690
F3 0.807 0.615 0.332
F4 0.193 0.385 0.668
F5 0.800 0.017 0.325
F6 0.200 0.983 0.675
F7 0.217 0.017 0.325
F8 0.783 0.983 0.675
```

Computed properties:
SG: No. 12
Uncorrected energy in eV for the cell shown: -58.70